# PBE-GGA NaPr3Sn12, relaxed
data_NaPr3Sn12
_symmetry_space_group_name_H-M 'P 4/m m m'
_symmetry_Int_Tables_number 123
_symmetry_space_group_name_Hall '-P 4 2'
_cell_length_a 4.7393
_cell_length_b 4.7393
_cell_length_c 19.4219
_cell_angle_alpha 90.00
_cell_angle_beta 90.00
_cell_angle_gamma 90.00
loop_
_atom_site_label
_atom_site_fract_x
_atom_site_fract_y
_atom_site_fract_z
Na1 0.0000 0.0000 0.0000
Pr1 0.0000 0.0000 0.2524
Pr2 0.0000 0.0000 0.5000
Sn1 0.0000 0.5000 0.1212
Sn2 0.0000 0.5000 0.3745
Sn3 0.5000 0.5000 0.0000
Sn4 0.5000 0.5000 0.2455
Sn5 0.5000 0.5000 0.5000
# E_form: -410 meV per atom
# Crystal system: tetragonal

***

# PBE-GGA HfS2F, relaxed
data_HfS2F
_symmetry_space_group_name_H-M 'F m -3 m'
_symmetry_Int_Tables_number 225
_symmetry_space_group_name_Hall '-F 4 2 3'
_cell_length_a 6.2320
_cell_length_b 6.2320
_cell_length_c 6.2320
_cell_angle_alpha 90.00
_cell_angle_beta 90.00
_cell_angle_gamma 90.00
loop_
_atom_site_label
_atom_site_fract_x
_atom_site_fract_y
_atom_site_fract_z
Hf1 0.0000 0.0000 0.0000
S1 0.2500 0.2500 0.2500
F1 0.0000 0.0000 0.5000
# ΔE to the lowest computed polymorph: 0.1242 eV/atom
# Crystal system: cubic
# ΔE_f (raw): -1.17 eV per atom

***

# PBE-GGA K6MoN4, relaxed
data_K6MoN4
_symmetry_space_group_name_H-M 'P 42/n m c'
_symmetry_Int_Tables_number 137
_cell_length_a 8.2268
_cell_length_b 8.2268
_cell_length_c 6.7612
_cell_angle_alpha 90.00
_cell_angle_beta 90.00
_cell_angle_gamma 90.00
loop_
_symmetry_equiv_pos_as_xyz
'x,y,z'
'-x,-y,-z'
'-y+1/2,x,z+1/2'
'y+1/2,-x,-z+1/2'
'-x+1/2,-y+1/2,z'
'x+1/2,y+1/2,-z'
'y,-x+1/2,z+1/2'
'-y,x+1/2,-z+1/2'
'x+1/2,-y,-z'
'-x+1/2,y,z'
'-y,-x,-z+1/2'
'y,x,z+1/2'
'-x,y+1/2,-z'
'x,-y+1/2,z'
'y+1/2,x+1/2,-z+1/2'
'-y+1/2,-x+1/2,z+1/2'
loop_
_atom_site_label
_atom_site_fract_x
_atom_site_fract_y
_atom_site_fract_z
K1 0.0465 0.5465 0.2500
K2 0.2500 0.2500 0.0715
Mo1 0.2500 0.7500 0.7500
N1 0.0530 0.7500 0.5972
# Crystal system: tetragonal
# ΔE_f (raw): -0.05 eV per atom

***

# PBE-GGA Mg6Hg6Pb, relaxed
data_Mg6Hg6Pb
_symmetry_space_group_name_H-M 'P 6/m m m'
_symmetry_Int_Tables_number 191
_symmetry_space_group_name_Hall '-P 6 2'
_cell_length_a 6.1757
_cell_length_b 6.1757
_cell_length_c 9.4766
_cell_angle_alpha 90.00
_cell_angle_beta 90.00
_cell_angle_gamma 120.00
loop_
_atom_site_label
_atom_site_fract_x
_atom_site_fract_y
_atom_site_fract_z
Mg1 0.0000 0.0000 0.1608
Mg2 0.3333 0.6667 0.0000
Mg3 0.3333 0.6667 0.5000
Hg1 0.0000 0.5000 0.2482
Pb1 0.0000 0.0000 0.5000
# E_form: -68 meV per atom
# Crystal system: hexagonal

***

# PBE-GGA PbAu4Cl, relaxed
data_PbAu4Cl
_symmetry_space_group_name_H-M 'F -4 3 m'
_symmetry_Int_Tables_number 216
_symmetry_space_group_name_Hall 'F -4 2 3'
_cell_length_a 8.0090
_cell_length_b 8.0090
_cell_length_c 8.0090
_cell_angle_alpha 90.00
_cell_angle_beta 90.00
_cell_angle_gamma 90.00
loop_
_atom_site_label
_atom_site_fract_x
_atom_site_fract_y
_atom_site_fract_z
Pb1 0.0000 0.0000 0.0000
Au1 0.1248 0.1248 0.6248
Cl1 0.2500 0.2500 0.2500
# Crystal system: cubic
# ΔE_f (raw): -0.06 eV per atom

***

# PBE-GGA Ba4CdPb2, relaxed
data_Ba4CdPb2
_symmetry_space_group_name_H-M 'R -3 m'
_symmetry_Int_Tables_number 166
_symmetry_space_group_name_Hall '-R 3 2"'
_cell_length_a 6.0585
_cell_length_b 6.0585
_cell_length_c 29.5682
_cell_angle_alpha 90.00
_cell_angle_beta 90.00
_cell_angle_gamma 120.00
loop_
_atom_site_label
_atom_site_fract_x
_atom_site_fract_y
_atom_site_fract_z
Ba1 0.0000 0.0000 0.1242
Ba2 0.0000 0.0000 0.3745
Cd1 0.0000 0.0000 0.0000
Pb1 0.0000 0.0000 0.2499
# E_form: -486 meV per atom
# Crystal system: trigonal